K2TaTc at its PBEsol-relaxed geometry. Source: the Alexandria database, functional meta-GGA SCAN.

Geometry as extended XYZ:
```
4
Lattice="-1.5863 -0.9021 3.3053 3.1317 -1.8591 0.9956 2.2501 5.1164 2.4763" Properties=species:S:1:pos:R:3 pbc="T T T"
Ta 1.8978 1.1776 3.3886
Tc 1.1251 2.5582 1.2382
K -0.7931 -0.4511 1.6526
K 1.5658 -0.9296 0.4978
```

## Properties
Total magnetization ... 0.117 μB/atom
E above lowest polymorph ... 528 meV per atom
Symmetry ... No. 123
Raw total energy ... -28.2635 eV/atom
E_form ... 506 kJ/mol of formula units


KTaTc at its PBEsol-relaxed geometry. Source: the Alexandria database, functional meta-GGA SCAN.

Geometry as extended XYZ:
```
3
Lattice="4.4044 0.0000 0.0000 2.2022 3.8143 0.0000 2.2022 1.2714 3.5961" Properties=species:S:1:pos:R:3 pbc="T T T"
Tc 4.4044 2.5429 1.7981
Ta 0.0000 0.0000 0.0000
K 2.2022 1.2714 0.8990
```

## Properties
Total magnetization ... 0.272 μB/atom
Symmetry ... No. 216
Raw total energy ... -33.4433 eV/atom
E_form ... 930 kJ/mol of formula units


K2TaTc at its PBEsol-relaxed geometry. Source: the Alexandria database, functional meta-GGA SCAN.

Geometry as extended XYZ:
```
4
Lattice="2.7074 0.0000 0.0000 0.0000 5.3145 0.0000 0.0000 -2.6572 6.0999" Properties=species:S:1:pos:R:3 pbc="T T T"
Tc 1.3537 2.6572 0.0000
Ta 1.3537 0.0000 0.0000
K 0.0000 -1.3286 3.0499
K 0.0000 1.3286 3.0499
```

## Properties
Total magnetization ... 0.000 μB/atom
E above lowest polymorph ... 627 meV per atom
Symmetry ... No. 65
Raw total energy ... -28.1649 eV/atom
E_form ... 544 kJ/mol of formula units


KTa4Tc at its PBEsol-relaxed geometry. Source: the Alexandria database, functional meta-GGA SCAN.

Geometry as extended XYZ:
```
6
Lattice="5.4749 0.0000 0.0000 2.7375 4.7414 0.0000 2.7375 1.5805 4.4703" Properties=species:S:1:pos:R:3 pbc="T T T"
Ta 5.4749 3.1610 3.9017
Ta 6.8357 2.3753 1.6796
Ta 4.1142 2.3753 1.6796
Ta 5.4749 4.7322 1.6796
K 0.0000 0.0000 0.0000
Tc 8.2124 4.7414 3.3527
```

## Properties
Total magnetization ... 0.000 μB/atom
Symmetry ... No. 216
Raw total energy ... -50.4840 eV/atom
E_form ... 658 kJ/mol of formula units


K2TaTc at its PBEsol-relaxed geometry. Source: the Alexandria database, functional meta-GGA SCAN.

Geometry as extended XYZ:
```
4
Lattice="3.1523 -0.0111 0.0000 -1.3522 2.8476 0.0000 0.0000 0.0000 11.8312" Properties=species:S:1:pos:R:3 pbc="T T T"
K 0.0000 0.0000 0.6617
K 0.9001 1.4182 8.3855
Ta 0.0000 0.0000 5.2158
Tc 0.9001 1.4182 3.4838
```

## Properties
Total magnetization ... 0.000 μB/atom
E above lowest polymorph ... 0 meV per atom
Symmetry ... No. 35
Raw total energy ... -28.7920 eV/atom
E_form ... 302 kJ/mol of formula units


K2TaTe at its PBEsol-relaxed geometry. Source: the Alexandria database, functional meta-GGA SCAN.

Geometry as extended XYZ:
```
4
Lattice="3.1179 0.0000 0.0000 0.0000 5.8959 0.0000 0.0000 -2.9480 5.9086" Properties=species:S:1:pos:R:3 pbc="T T T"
K 0.0000 -1.4740 2.9543
K 0.0000 1.4740 2.9543
Ta 1.5590 0.0000 0.0000
Te 1.5590 2.9480 0.0000
```

## Properties
Energy relative to the elements, uncorrected ... 69.6 kJ/mol of atoms
Total magnetization ... 0.000 μB/atom
Symmetry ... No. 65
Raw total energy ... -29.4014 eV/atom


K2TaTe at its PBEsol-relaxed geometry. Source: the Alexandria database, functional meta-GGA SCAN.

Geometry as extended XYZ:
```
4
Lattice="-3.0767 0.1812 -0.3199 0.9821 -0.6494 -2.8662 -0.9177 -11.5264 2.2973" Properties=species:S:1:pos:R:3 pbc="T T T"
K -0.6989 -8.7784 1.7496
K -0.2188 -2.7479 0.5477
Te -1.0473 -0.2341 -1.5930
Ta -1.5061 -5.9973 -0.4444
```

## Properties
Energy relative to the elements, uncorrected ... 59.3 kJ/mol of atoms
Total magnetization ... 0.182 μB/atom
Symmetry ... No. 65
Raw total energy ... -29.5080 eV/atom


KTa3Ti at its PBEsol-relaxed geometry. Source: the Alexandria database, functional meta-GGA SCAN.

Geometry as extended XYZ:
```
5
Lattice="4.5660 0.0000 0.0000 0.0000 4.5660 0.0000 0.0000 0.0000 4.5660" Properties=species:S:1:pos:R:3 pbc="T T T"
Ti 2.2830 2.2830 2.2830
Ta 0.0000 2.2830 0.0000
Ta 2.2830 0.0000 0.0000
Ta 0.0000 0.0000 2.2830
K 0.0000 0.0000 0.0000
```

## Properties
Total magnetization ... 0.000 μB/atom
Symmetry ... No. 221
Raw total energy ... -41.9315 eV/atom
E_form ... 1394 kJ/mol of formula units